NaCePdS2 | PBE | optimized geometry

energy relative to the elements, uncorrected: -1.199 eV per atom

abc: 4.784 6.920 7.619
angles: 99.48 90.00 90.00
Site moments in Bohr magnetons follow the coordinates.
Fractional coordinates of all 10 atoms:
Na  0.129  0.500  0.750  0.00
Na  0.871  0.500  0.250  0.00
Ce  0.476  0.000  0.250  0.87
Ce  0.524  0.000  0.750  0.87
Pd  0.000  0.000  0.000  -0.02
Pd  0.000  0.000  0.500  -0.02
S  0.698  0.728  0.971  -0.01
S  0.698  0.272  0.529  -0.01
S  0.302  0.728  0.471  -0.01
S  0.302  0.272  0.029  -0.01